*1*
Density functional theory data (PBE) for a relaxed structure of Fe3GeP.

```
data_Fe3GeP
_chemical_formula_sum 'Fe3 Ge1 P1'
_symmetry_space_group_name_H-M 'P m -3 m'
_symmetry_Int_Tables_number 221
_symmetry_space_group_name_Hall '-P 4 2 3'
_cell_length_a 4.367
_cell_length_b 4.367
_cell_length_c 4.367
_cell_angle_alpha 90.00
_cell_angle_beta 90.00
_cell_angle_gamma 90.00
loop_
_atom_site_label
_atom_site_fract_x
_atom_site_fract_y
_atom_site_fract_z
Fe1 0.000 0.000 0.500
Ge1 0.000 0.000 0.000
P1 0.500 0.500 0.500
```

---

*2*
Density functional theory data (PBE) for a relaxed structure of Fe3GeP.

```
data_Fe3GeP
_chemical_formula_sum 'Fe3 Ge1 P1'
_symmetry_space_group_name_H-M 'P m -3 m'
_symmetry_Int_Tables_number 221
_symmetry_space_group_name_Hall '-P 4 2 3'
_cell_length_a 4.201
_cell_length_b 4.201
_cell_length_c 4.201
_cell_angle_alpha 90.00
_cell_angle_beta 90.00
_cell_angle_gamma 90.00
loop_
_atom_site_label
_atom_site_fract_x
_atom_site_fract_y
_atom_site_fract_z
Fe1 0.000 0.000 0.500
Ge1 0.500 0.500 0.500
P1 0.000 0.000 0.000
```

---

Verdict on stability: *2* comes out on top.

---

*1*
Density functional theory data (PBE) for a relaxed structure of Fe2GeP.

```
data_Fe2GeP
_chemical_formula_sum 'Fe8 Ge4 P4'
_symmetry_space_group_name_H-M 'F m -3 m'
_symmetry_Int_Tables_number 225
_symmetry_space_group_name_Hall '-F 4 2 3'
_cell_length_a 5.680
_cell_length_b 5.680
_cell_length_c 5.680
_cell_angle_alpha 90.00
_cell_angle_beta 90.00
_cell_angle_gamma 90.00
loop_
_atom_site_label
_atom_site_fract_x
_atom_site_fract_y
_atom_site_fract_z
Fe1 0.250 0.250 0.250
Ge1 0.000 0.000 0.000
P1 0.000 0.000 0.500
```

---

*2*
Density functional theory data (PBE) for a relaxed structure of Fe2GeP.

```
data_Fe2GeP
_chemical_formula_sum 'Fe8 Ge4 P4'
_symmetry_space_group_name_H-M 'I -4 2 d'
_symmetry_Int_Tables_number 122
_symmetry_space_group_name_Hall 'I -4 2bw'
_cell_length_a 5.345
_cell_length_b 5.345
_cell_length_c 9.216
_cell_angle_alpha 90.00
_cell_angle_beta 90.00
_cell_angle_gamma 90.00
loop_
_atom_site_label
_atom_site_fract_x
_atom_site_fract_y
_atom_site_fract_z
Fe1 0.221 0.250 0.125
Ge1 0.000 0.000 0.500
P1 0.000 0.000 0.000
```

---

Verdict on stability: *1* comes out on top.

---

*1*
Density functional theory data (PBE) for a relaxed structure of FeGePS2.

```
data_FeGePS2
_chemical_formula_sum 'Fe1 Ge1 P1 S2'
_symmetry_space_group_name_H-M 'P 4/m m m'
_symmetry_Int_Tables_number 123
_symmetry_space_group_name_Hall '-P 4 2'
_cell_length_a 4.671
_cell_length_b 4.671
_cell_length_c 4.202
_cell_angle_alpha 90.00
_cell_angle_beta 90.00
_cell_angle_gamma 90.00
loop_
_atom_site_label
_atom_site_fract_x
_atom_site_fract_y
_atom_site_fract_z
Fe1 0.000 0.000 0.000
Ge1 0.500 0.500 0.500
P1 0.000 0.000 0.500
S1 0.000 0.500 0.000
```

---

*2*
Density functional theory data (PBE) for a relaxed structure of FeGePS2.

```
data_FeGePS2
_chemical_formula_sum 'Fe1 Ge1 P1 S2'
_symmetry_space_group_name_H-M 'P 4/m m m'
_symmetry_Int_Tables_number 123
_symmetry_space_group_name_Hall '-P 4 2'
_cell_length_a 4.632
_cell_length_b 4.632
_cell_length_c 4.550
_cell_angle_alpha 90.00
_cell_angle_beta 90.00
_cell_angle_gamma 90.00
loop_
_atom_site_label
_atom_site_fract_x
_atom_site_fract_y
_atom_site_fract_z
Fe1 0.000 0.000 0.000
Ge1 0.000 0.000 0.500
P1 0.500 0.500 0.000
S1 0.000 0.500 0.500
```

---

Verdict on stability: *1* comes out on top.

---

*1*
Density functional theory data (PBE) for a relaxed structure of PaFe4Ge.

```
data_PaFe4Ge
_chemical_formula_sum 'Pa4 Fe16 Ge4'
_symmetry_space_group_name_H-M 'F -4 3 m'
_symmetry_Int_Tables_number 216
_symmetry_space_group_name_Hall 'F -4 2 3'
_cell_length_a 7.004
_cell_length_b 7.004
_cell_length_c 7.004
_cell_angle_alpha 90.00
_cell_angle_beta 90.00
_cell_angle_gamma 90.00
loop_
_atom_site_label
_atom_site_fract_x
_atom_site_fract_y
_atom_site_fract_z
Pa1 0.000 0.000 0.000
Fe1 0.124 0.124 0.624
Ge1 0.250 0.250 0.250
```

---

*2*
Density functional theory data (PBE) for a relaxed structure of PaFe4Ge.

```
data_PaFe4Ge
_chemical_formula_sum 'Pa4 Fe16 Ge4'
_symmetry_space_group_name_H-M 'I 41/a m d'
_symmetry_Int_Tables_number 141
_cell_length_a 4.621
_cell_length_b 4.621
_cell_length_c 18.288
_cell_angle_alpha 90.00
_cell_angle_beta 90.00
_cell_angle_gamma 90.00
loop_
_symmetry_equiv_pos_as_xyz
'x,y,z'
'-x,-y,-z'
'-y+1/4,x+3/4,z+1/4'
'y+1/4,-x+3/4,-z+1/4'
'-x+1/2,-y,z+1/2'
'x+1/2,y,-z+1/2'
'y+1/4,-x+1/4,z+3/4'
'-y+1/4,x+1/4,-z+3/4'
'x,-y,-z'
'-x,y,z'
'-y+1/4,-x+1/4,-z+3/4'
'y+1/4,x+1/4,z+3/4'
'-x+1/2,y,-z+1/2'
'x+1/2,-y,z+1/2'
'y+1/4,x+3/4,-z+1/4'
'-y+1/4,-x+3/4,z+1/4'
'x+1/2,y+1/2,z+1/2'
'-x+1/2,-y+1/2,-z+1/2'
'-y+3/4,x+1/4,z+3/4'
'y+3/4,-x+1/4,-z+3/4'
'-x,-y+1/2,z'
'x,y+1/2,-z'
'y+3/4,-x+3/4,z+1/4'
'-y+3/4,x+3/4,-z+1/4'
'x+1/2,-y+1/2,-z+1/2'
'-x+1/2,y+1/2,z+1/2'
'-y+3/4,-x+3/4,-z+1/4'
'y+3/4,x+3/4,z+1/4'
'-x,y+1/2,-z'
'x,-y+1/2,z'
'y+3/4,x+1/4,-z+3/4'
'-y+3/4,-x+1/4,z+3/4'
loop_
_atom_site_label
_atom_site_fract_x
_atom_site_fract_y
_atom_site_fract_z
Pa1 0.000 0.250 0.375
Fe1 0.000 0.006 0.238
Ge1 0.000 0.250 0.875
```

---

Verdict on stability: *1* comes out on top.

---

*1*
Density functional theory data (PBE) for a relaxed structure of PaFe2Ge.

```
data_PaFe2Ge
_chemical_formula_sum 'Pa1 Fe2 Ge1'
_symmetry_space_group_name_H-M 'P 4/m m m'
_symmetry_Int_Tables_number 123
_symmetry_space_group_name_Hall '-P 4 2'
_cell_length_a 2.973
_cell_length_b 2.973
_cell_length_c 6.633
_cell_angle_alpha 90.00
_cell_angle_beta 90.00
_cell_angle_gamma 90.00
loop_
_atom_site_label
_atom_site_fract_x
_atom_site_fract_y
_atom_site_fract_z
Pa1 0.000 0.000 0.000
Fe1 0.500 0.500 0.299
Ge1 0.000 0.000 0.500
```

---

*2*
Density functional theory data (PBE) for a relaxed structure of PaFe2Ge.

```
data_PaFe2Ge
_chemical_formula_sum 'Pa3 Fe6 Ge3'
_symmetry_space_group_name_H-M 'R -3 m'
_symmetry_Int_Tables_number 166
_symmetry_space_group_name_Hall '-R 3 2"'
_cell_length_a 4.3125
_cell_length_b 4.3125
_cell_length_c 12.2498
_cell_angle_alpha 90.00
_cell_angle_beta 90.00
_cell_angle_gamma 120.00
loop_
_atom_site_label
_atom_site_fract_x
_atom_site_fract_y
_atom_site_fract_z
Pa1 0.0000 0.0000 0.0000
Fe1 0.0000 0.0000 0.1876
Ge1 0.0000 0.0000 0.5000
```

---

*3*
Density functional theory data (PBE) for a relaxed structure of PaFe2Ge.

```
data_PaFe2Ge
_chemical_formula_sum 'Pa1 Fe2 Ge1'
_symmetry_space_group_name_H-M 'P 4/m m m'
_symmetry_Int_Tables_number 123
_symmetry_space_group_name_Hall '-P 4 2'
_cell_length_a 4.172
_cell_length_b 4.172
_cell_length_c 3.497
_cell_angle_alpha 90.00
_cell_angle_beta 90.00
_cell_angle_gamma 90.00
loop_
_atom_site_label
_atom_site_fract_x
_atom_site_fract_y
_atom_site_fract_z
Pa1 0.000 0.000 0.000
Fe1 0.000 0.500 0.500
Ge1 0.500 0.500 0.000
```

---

*4*
Density functional theory data (PBE) for a relaxed structure of PaFe2Ge.

```
data_PaFe2Ge
_chemical_formula_sum 'Pa1 Fe2 Ge1'
_symmetry_space_group_name_H-M 'P 1 2/m 1'
_symmetry_Int_Tables_number 10
_cell_length_a 3.821
_cell_length_b 3.507
_cell_length_c 5.365
_cell_angle_alpha 90.00
_cell_angle_beta 98.26
_cell_angle_gamma 90.00
loop_
_symmetry_equiv_pos_as_xyz
'x,y,z'
'-x,-y,-z'
'-x,y,-z'
'x,-y,z'
loop_
_atom_site_label
_atom_site_fract_x
_atom_site_fract_y
_atom_site_fract_z
Pa1 0.000 0.000 0.000
Fe1 0.432 0.500 0.208
Ge1 0.500 0.000 0.500
```

---

Verdict on stability: *2* comes out on top.

---

*1*
Density functional theory data (PBE) for a relaxed structure of FeGePb3.

```
data_FeGePb3
_chemical_formula_sum 'Fe1 Ge1 Pb3'
_symmetry_space_group_name_H-M 'P m -3 m'
_symmetry_Int_Tables_number 221
_symmetry_space_group_name_Hall '-P 4 2 3'
_cell_length_a 5.496
_cell_length_b 5.496
_cell_length_c 5.496
_cell_angle_alpha 90.00
_cell_angle_beta 90.00
_cell_angle_gamma 90.00
loop_
_atom_site_label
_atom_site_fract_x
_atom_site_fract_y
_atom_site_fract_z
Fe1 0.000 0.000 0.000
Ge1 0.500 0.500 0.500
Pb1 0.000 0.500 0.500
```

---

*2*
Density functional theory data (PBE) for a relaxed structure of FeGePb3.

```
data_FeGePb3
_chemical_formula_sum 'Fe1 Ge1 Pb3'
_symmetry_space_group_name_H-M 'P m -3 m'
_symmetry_Int_Tables_number 221
_symmetry_space_group_name_Hall '-P 4 2 3'
_cell_length_a 5.133
_cell_length_b 5.133
_cell_length_c 5.133
_cell_angle_alpha 90.00
_cell_angle_beta 90.00
_cell_angle_gamma 90.00
loop_
_atom_site_label
_atom_site_fract_x
_atom_site_fract_y
_atom_site_fract_z
Fe1 0.000 0.000 0.000
Ge1 0.500 0.500 0.500
Pb1 0.000 0.000 0.500
```

---

Verdict on stability: *2* comes out on top.

---

*1*
Density functional theory data (PBE) for a relaxed structure of Fe3GePb.

```
data_Fe3GePb
_chemical_formula_sum 'Fe3 Ge1 Pb1'
_symmetry_space_group_name_H-M 'P m -3 m'
_symmetry_Int_Tables_number 221
_symmetry_space_group_name_Hall '-P 4 2 3'
_cell_length_a 4.500
_cell_length_b 4.500
_cell_length_c 4.500
_cell_angle_alpha 90.00
_cell_angle_beta 90.00
_cell_angle_gamma 90.00
loop_
_atom_site_label
_atom_site_fract_x
_atom_site_fract_y
_atom_site_fract_z
Fe1 0.000 0.000 0.500
Ge1 0.000 0.000 0.000
Pb1 0.500 0.500 0.500
```

---

*2*
Density functional theory data (PBE) for a relaxed structure of Fe3GePb.

```
data_Fe3GePb
_chemical_formula_sum 'Fe3 Ge1 Pb1'
_symmetry_space_group_name_H-M 'P m -3 m'
_symmetry_Int_Tables_number 221
_symmetry_space_group_name_Hall '-P 4 2 3'
_cell_length_a 4.888
_cell_length_b 4.888
_cell_length_c 4.888
_cell_angle_alpha 90.00
_cell_angle_beta 90.00
_cell_angle_gamma 90.00
loop_
_atom_site_label
_atom_site_fract_x
_atom_site_fract_y
_atom_site_fract_z
Fe1 0.000 0.000 0.500
Ge1 0.500 0.500 0.500
Pb1 0.000 0.000 0.000
```

---

Verdict on stability: *1* comes out on top.

---

*1*
Density functional theory data (PBE) for a relaxed structure of Fe2GePb2.

```
data_Fe2GePb2
_chemical_formula_sum 'Fe4 Ge2 Pb4'
_symmetry_space_group_name_H-M 'P 4/m b m'
_symmetry_Int_Tables_number 127
_symmetry_space_group_name_Hall '-P 4 2ab'
_cell_length_a 8.332
_cell_length_b 8.332
_cell_length_c 3.035
_cell_angle_alpha 90.00
_cell_angle_beta 90.00
_cell_angle_gamma 90.00
loop_
_atom_site_label
_atom_site_fract_x
_atom_site_fract_y
_atom_site_fract_z
Fe1 0.102 0.398 0.000
Ge1 0.000 0.000 0.500
Pb1 0.186 0.686 0.500
```

---

*2*
Density functional theory data (PBE) for a relaxed structure of Fe2GePb2.

```
data_Fe2GePb2
_chemical_formula_sum 'Fe4 Ge2 Pb4'
_symmetry_space_group_name_H-M 'I 4/m m m'
_symmetry_Int_Tables_number 139
_symmetry_space_group_name_Hall '-I 4 2'
_cell_length_a 3.442
_cell_length_b 3.442
_cell_length_c 17.795
_cell_angle_alpha 90.00
_cell_angle_beta 90.00
_cell_angle_gamma 90.00
loop_
_atom_site_label
_atom_site_fract_x
_atom_site_fract_y
_atom_site_fract_z
Fe1 0.000 0.500 0.250
Ge1 0.000 0.000 0.000
Pb1 0.000 0.000 0.381
```

---

Verdict on stability: *2* comes out on top.